## BeSbP2 (PBE)

Data for crystalline BeSbP2 at its relaxed geometry.

Unit cell a=3.277 b=3.277 c=7.112 alpha=90.00 beta=90.00 gamma=112.72
Positions (direct):
1 Sb 0.500 0.500 0.250
2 Be 0.500 0.500 0.750
3 P 0.000 0.000 0.917
4 P 0.000 0.000 0.583

Properties
- energy relative to the elements, uncorrected (eV per atom) = 0.435
- symmetry = Cmmm
- D(E_F) (states/eV/f.u.) = 1.53
- energy relative to the lowest polymorph listed for this composition (kJ/mol of atoms) = 38.6

=====

## BeSb2P (PBE)

Data for crystalline BeSb2P at its relaxed geometry.

Unit cell a=3.810 b=3.810 c=6.772 alpha=72.95 beta=72.95 gamma=60.93
Positions (direct):
1 Be 0.750 0.750 0.750
2 P 0.250 0.250 0.250
3 Sb 0.492 0.492 0.522
4 Sb 0.008 0.008 0.978

Properties
- energy relative to the elements, uncorrected (eV per atom) = 0.313
- symmetry = C2/m
- D(E_F) (states/eV/f.u.) = 2.04
- energy relative to the lowest polymorph listed for this composition (kJ/mol of atoms) = 14.1

=====

## BeSbP2 (PBE)

Data for crystalline BeSbP2 at its relaxed geometry.

Unit cell a=5.403 b=5.403 c=5.554 alpha=64.78 beta=64.78 gamma=37.30
Positions (direct):
1 Be 0.740 0.740 0.896
2 Sb 0.358 0.358 0.495
3 P 0.310 0.310 0.054
4 P 0.092 0.092 0.056

Properties
- energy relative to the elements, uncorrected (eV per atom) = 0.258
- symmetry = Cm
- D(E_F) (states/eV/f.u.) = 0.48
- energy relative to the lowest polymorph listed for this composition (kJ/mol of atoms) = 21.4

=====

## BeSbP2 (PBE)

Data for crystalline BeSbP2 at its relaxed geometry.

Unit cell a=3.833 b=3.794 c=5.619 alpha=83.09 beta=90.00 gamma=90.00
Positions (direct):
1 Be 0.500 0.842 0.997
2 P 0.000 0.909 0.817
3 P 0.500 0.312 0.196
4 Sb 0.000 0.437 0.490

Properties
- energy relative to the elements, uncorrected (eV per atom) = 0.035
- symmetry = Pm
- D(E_F) (states/eV/f.u.) = 1.26
- energy relative to the lowest polymorph listed for this composition (kJ/mol of atoms) = 0.0

=====

## BeSbP2 (PBE)

Data for crystalline BeSbP2 at its relaxed geometry.

Unit cell a=3.348 b=3.707 c=5.645 alpha=90.00 beta=90.00 gamma=90.00
Positions (direct):
1 Be 0.000 0.500 0.500
2 P 0.500 0.500 0.000
3 P 0.000 0.000 0.000
4 Sb 0.500 0.000 0.500

Properties
- energy relative to the elements, uncorrected (eV per atom) = 0.682
- symmetry = Pmmm
- D(E_F) (states/eV/f.u.) = 1.80
- energy relative to the lowest polymorph listed for this composition (kJ/mol of atoms) = 62.4

=====

## BeSb2P (PBE)

Data for crystalline BeSb2P at its relaxed geometry.

Unit cell a=4.874 b=4.874 c=4.874 alpha=60.00 beta=60.00 gamma=60.00
Positions (direct):
1 Be 0.500 0.500 0.500
2 P 0.750 0.750 0.750
3 Sb 0.000 0.000 0.000
4 Sb 0.250 0.250 0.250

Properties
- energy relative to the elements, uncorrected (eV per atom) = 0.745
- symmetry = F-43m
- D(E_F) (states/eV/f.u.) = 1.59
- energy relative to the lowest polymorph listed for this composition (kJ/mol of atoms) = 55.9